# 1
First-principles (PBE) data for Li2ZrRe after structural relaxation, as listed in the Alexandria database.

Properties
- M_tot: 0.00 μB/atom
- Uncorrected energy: -23.32 eV/cell

Unit cell a=2.657 b=4.690 c=5.358 alpha=90.00 beta=90.00 gamma=90.00
Positions (direct):
1 Li 0.000 0.000 0.034
2 Li 0.000 0.000 0.466
3 Re 0.500 0.500 0.250
4 Zr 0.500 0.500 0.750

---

# 2
First-principles (PBE) data for Li2ZrRe after structural relaxation, as listed in the Alexandria database.

Properties
- M_tot: 0.00 μB/atom
- Uncorrected energy: -22.54 eV/cell

Unit cell a=4.718 b=4.718 c=2.685 alpha=90.00 beta=90.00 gamma=90.00
Positions (direct):
1 Li 0.000 0.000 0.000
2 Li 0.500 0.500 0.000
3 Re 0.500 0.000 0.500
4 Zr 0.000 0.500 0.500

---

# 3
First-principles (PBE) data for LiZr2Re after structural relaxation, as listed in the Alexandria database.

Properties
- M_tot: 0.00 μB/atom
- Uncorrected energy: -30.36 eV/cell

Unit cell a=4.660 b=4.660 c=4.660 alpha=60.00 beta=60.00 gamma=60.00
Positions (direct):
1 Li 0.500 0.500 0.500
2 Re 0.750 0.750 0.750
3 Zr 0.000 0.000 0.000
4 Zr 0.250 0.250 0.250

---

# 4
First-principles (PBE) data for LiZrRe after structural relaxation, as listed in the Alexandria database.

Properties
- M_tot: 0.00 μB/atom
- Uncorrected energy: -21.86 eV/cell

Unit cell a=2.799 b=2.799 c=7.761 alpha=90.00 beta=90.00 gamma=120.00
Positions (direct):
1 Li 0.000 0.000 0.022
2 Re 0.667 0.333 0.322
3 Zr 0.333 0.667 0.656

---

# 5
First-principles (PBE) data for Li2ZrRe after structural relaxation, as listed in the Alexandria database.

Properties
- M_tot: 0.00 μB/atom
- Uncorrected energy: -23.75 eV/cell

Unit cell a=3.331 b=3.331 c=6.531 alpha=90.00 beta=90.00 gamma=90.00
Positions (direct):
1 Li 0.000 0.000 0.041
2 Li 0.500 0.500 0.264
3 Re 0.000 0.000 0.494
4 Zr 0.500 0.500 0.700

---

# 6
First-principles (PBE) data for LiZr2Re after structural relaxation, as listed in the Alexandria database.

Properties
- M_tot: 0.00 μB/atom
- Uncorrected energy: -31.64 eV/cell

Unit cell a=4.666 b=4.667 c=3.339 alpha=90.00 beta=90.00 gamma=90.00
Positions (direct):
1 Li 0.500 0.000 0.500
2 Re 0.000 0.500 0.500
3 Zr 0.000 0.000 0.000
4 Zr 0.500 0.500 0.000

---

# 7
First-principles (PBE) data for Li2ZrRe after structural relaxation, as listed in the Alexandria database.

Properties
- M_tot: 0.00 μB/atom
- Uncorrected energy: -23.73 eV/cell

Unit cell a=4.478 b=2.620 c=5.915 alpha=79.08 beta=90.00 gamma=90.00
Positions (direct):
1 Li 0.000 0.099 0.032
2 Li 0.500 0.160 0.249
3 Re 0.000 0.453 0.494
4 Zr 0.500 0.788 0.725

---

# 8
First-principles (PBE) data for LiZrRe after structural relaxation, as listed in the Alexandria database.

Properties
- M_tot: 0.00 μB/atom
- Uncorrected energy: -21.78 eV/cell

Unit cell a=7.504 b=7.504 c=7.504 alpha=159.30 beta=159.30 gamma=29.44
Positions (direct):
1 Li 0.986 0.986 0.000
2 Re 0.339 0.339 0.000
3 Zr 0.674 0.674 0.000

---

# 9
First-principles (PBE) data for Li2ZrRe after structural relaxation, as listed in the Alexandria database.

Properties
- M_tot: 0.00 μB/atom
- Uncorrected energy: -23.67 eV/cell

Unit cell a=10.407 b=10.407 c=10.407 alpha=15.60 beta=15.60 gamma=15.60
Positions (direct):
1 Li 0.996 0.996 0.996
2 Li 0.245 0.245 0.245
3 Re 0.504 0.504 0.504
4 Zr 0.755 0.755 0.755

---

# 10
First-principles (PBE) data for LiZr2Re after structural relaxation, as listed in the Alexandria database.

Properties
- M_tot: 0.00 μB/atom
- Uncorrected energy: -30.63 eV/cell

Unit cell a=3.413 b=3.413 c=6.179 alpha=90.00 beta=90.00 gamma=90.00
Positions (direct):
1 Li 0.000 0.000 0.526
2 Re 0.500 0.500 0.730
3 Zr 0.000 0.000 0.963
4 Zr 0.500 0.500 0.281

---

# 11
First-principles (PBE) data for Li2ZrRe after structural relaxation, as listed in the Alexandria database.

Properties
- M_tot: 0.00 μB/atom
- Uncorrected energy: -23.92 eV/cell

Unit cell a=5.850 b=5.850 c=4.518 alpha=65.95 beta=65.95 gamma=29.79
Positions (direct):
1 Li 0.982 0.982 0.016
2 Li 0.518 0.518 0.484
3 Re 0.250 0.250 0.250
4 Zr 0.750 0.750 0.750

---

# 12
First-principles (PBE) data for LiZrRe after structural relaxation, as listed in the Alexandria database.

Properties
- M_tot: 0.00 μB/atom
- Uncorrected energy: -22.41 eV/cell

Unit cell a=4.747 b=4.747 c=2.601 alpha=90.00 beta=90.00 gamma=120.00
Positions (direct):
1 Li 0.000 0.000 0.354
2 Zr 0.333 0.667 0.670
3 Re 0.667 0.333 0.085